1:
VASP calculation (GGA-PBE) on GaS2ClO after structural relaxation.

Results
The crystal system is tetragonal. The calculation puts the density of states at the Fermi level at 1.003 states/eV/atom. The calculation puts the spin magnetization at 3.60 μB per formula unit.

a b c (Å): 4.768 4.768 4.819
angles (deg): 90.00 90.00 90.00
Space group P4/mmm (No. 123)
Asymmetric unit:
Ga 0.000 0.000 0.000 [1 per cell]
S 0.000 0.500 0.000 [2 per cell]
Cl 0.000 0.000 0.500 [1 per cell]
O 0.500 0.500 0.500 [1 per cell]

***

2:
VASP calculation (GGA-PBE) on GaS2ClO after structural relaxation.

Results
The crystal system is tetragonal. The calculation puts the density of states at the Fermi level at 0.913 states/eV/atom. The calculation puts the spin magnetization at 0.41 μB per formula unit.

a b c (Å): 3.927 3.927 6.361
angles (deg): 90.00 90.00 90.00
Space group P4/mmm (No. 123)
Asymmetric unit:
Ga 0.000 0.000 0.000 [1 per cell]
S 0.000 0.500 0.500 [2 per cell]
Cl 0.500 0.500 0.000 [1 per cell]
O 0.500 0.500 0.500 [1 per cell]

***

Most stable: 2 (next structure +427 meV/atom)

***

1:
VASP calculation (GGA-PBE) on GaSCl2O after structural relaxation.

Results
The crystal system is tetragonal. The calculation puts the density of states at the Fermi level at 1.109 states/eV/atom. The calculation puts the spin magnetization at 0.82 μB per formula unit.

a b c (Å): 4.720 4.720 4.967
angles (deg): 90.00 90.00 90.00
Space group P4/mmm (No. 123)
Asymmetric unit:
Ga 0.000 0.000 0.000 [1 per cell]
S 0.000 0.000 0.500 [1 per cell]
Cl 0.000 0.500 0.000 [2 per cell]
O 0.500 0.500 0.500 [1 per cell]

***

2:
VASP calculation (GGA-PBE) on GaSCl2O after structural relaxation.

Results
The crystal system is tetragonal. The calculation puts the density of states at the Fermi level at 0.572 states/eV/atom. The calculation puts the spin magnetization at 0.61 μB per formula unit.

a b c (Å): 4.764 4.764 4.105
angles (deg): 90.00 90.00 90.00
Space group P4/mmm (No. 123)
Asymmetric unit:
Ga 0.000 0.000 0.000 [1 per cell]
S 0.500 0.500 0.000 [1 per cell]
Cl 0.000 0.500 0.500 [2 per cell]
O 0.500 0.500 0.500 [1 per cell]

***

Most stable: 2 (next structure +82 meV/atom)